First-principles (GGA-PBE) data for an optimized crystal structure of Zr2InNi6, as listed in the Alexandria database.

As for the energy relative to the elements: -0.27 eV/atom.

The structure belongs to space group P-3m1 (No. 164); the cell edges are 5.1590, 5.1590 and 5.7183 Å and the angles 90.00°, 90.00° and 120.00°. The asymmetric unit holds Zr at (0.3333, 0.6667, 0.3147), In at (0.0000, 0.0000, 0.5000) and Ni at (0.1786, 0.3571, 0.8412).